[1]
5
Lattice="5.240 0.000 0.000 0.000 5.240 0.000 0.000 0.000 4.070" Properties=species:S:1:pos:R:3 comment="CdP2PbO, PBEsol geometry, DFT meta-GGA SCAN" space_group="P4/mmm (123)" formation_energy_uncorrected_mev_per_atom=785 pbc="T T T"
Cd 0.000 0.000 0.000
P 0.000 2.620 2.035
P 2.620 0.000 2.035
Pb 2.620 2.620 2.035
O 2.620 2.620 0.000



[2]
12
Lattice="3.656 0.000 0.000 -1.828 3.166 0.000 0.000 0.000 18.800" Properties=species:S:1:pos:R:3 comment="Zr2BeAs, PBEsol geometry, DFT meta-GGA SCAN" space_group="R-3m (166)" e_form_ev_per_atom=-0.614 de_polymorph_mev_per_atom=249 pbc="T T T"
Zr 0.000 0.000 4.655
Zr 0.000 0.000 14.145
Zr 0.000 2.111 7.878
Zr 0.000 2.111 17.189
Zr 1.828 1.055 1.611
Zr 1.828 1.055 10.922
Be 0.000 0.000 9.400
Be 0.000 2.111 3.133
Be 1.828 1.055 15.667
As 0.000 0.000 0.000
As 0.000 2.111 12.533
As 1.828 1.055 6.267



[3]
5
Lattice="4.377 0.000 0.000 0.000 4.377 0.000 0.000 0.000 4.377" Properties=species:S:1:pos:R:3 comment="BeGa3P, PBEsol geometry, DFT meta-GGA SCAN" space_group="Pm-3m (221)" e_form_ev_per_atom=0.486 pbc="T T T"
Be 0.000 0.000 0.000
Ga 0.000 0.000 2.188
Ga 0.000 2.188 0.000
Ga 2.188 0.000 0.000
P 2.188 2.188 2.188



[4]
12
Lattice="4.906 0.000 0.000 0.000 4.491 0.000 0.000 0.000 8.501" Properties=species:S:1:pos:R:3 comment="TaPt2, PBEsol geometry, DFT meta-GGA SCAN" space_group="Pnma (62)" e_form_ev_per_atom=-0.844 pbc="T T T"
Ta 0.835 1.123 1.270
Ta 1.618 3.368 5.521
Ta 3.288 1.123 2.980
Ta 4.071 3.368 7.230
Pt 0.777 1.123 7.028
Pt 0.818 1.123 4.128
Pt 1.635 3.368 8.379
Pt 1.676 3.368 2.777
Pt 3.230 1.123 5.723
Pt 3.271 1.123 0.122
Pt 4.088 3.368 4.372
Pt 4.129 3.368 1.473



Result set for calculated total energy: -25.86 -22.10 -12.27 -69.83 eV/atom, one per record in the order listed.